Version A
# In2CuCl (GGA-PBE, optimized geometry)
data_In2CuCl
_chemical_formula_sum 'In2 Cu1 Cl1'
_cell_length_a 3.755
_cell_length_b 3.755
_cell_length_c 7.393
_cell_angle_alpha 90.00
_cell_angle_beta 90.00
_cell_angle_gamma 90.00
_symmetry_space_group_name_H-M 'P 4 m m'
_symmetry_Int_Tables_number 99
loop_
_symmetry_equiv_pos_as_xyz
'x,y,z'
'-y,x,z'
'-x,-y,z'
'y,-x,z'
'-x,y,z'
'y,x,z'
'x,-y,z'
'-y,-x,z'
loop_
_atom_site_label
_atom_site_fract_x
_atom_site_fract_y
_atom_site_fract_z
In1 0.000 0.000 0.000
In2 0.500 0.500 0.405
Cu1 0.500 0.500 0.046
Cl1 0.000 0.000 0.607
# Density = 5.236 g cm⁻³

=====

Version B
# In2CuCl (GGA-PBE, optimized geometry)
data_In2CuCl
_chemical_formula_sum 'In2 Cu1 Cl1'
_cell_length_a 3.419
_cell_length_b 4.602
_cell_length_c 6.133
_cell_angle_alpha 90.00
_cell_angle_beta 90.00
_cell_angle_gamma 90.00
_symmetry_space_group_name_H-M 'P m m m'
_symmetry_Int_Tables_number 47
loop_
_symmetry_equiv_pos_as_xyz
'x,y,z'
'-x,-y,-z'
'-x,-y,z'
'x,y,-z'
'x,-y,-z'
'-x,y,z'
'-x,y,-z'
'x,-y,z'
loop_
_atom_site_label
_atom_site_fract_x
_atom_site_fract_y
_atom_site_fract_z
In1 0.000 0.000 0.000
In2 0.500 0.000 0.500
Cu1 0.000 0.500 0.500
Cl1 0.500 0.500 0.000
# Density = 5.654 g cm⁻³

=====

Version C
# In2CuCl (GGA-PBE, optimized geometry)
data_In2CuCl
_chemical_formula_sum 'In2 Cu1 Cl1'
_cell_length_a 4.676
_cell_length_b 5.760
_cell_length_c 3.524
_cell_angle_alpha 90.00
_cell_angle_beta 90.00
_cell_angle_gamma 90.00
_symmetry_space_group_name_H-M 'P m m 2'
_symmetry_Int_Tables_number 25
loop_
_symmetry_equiv_pos_as_xyz
'x,y,z'
'-x,-y,z'
'-x,y,z'
'x,-y,z'
loop_
_atom_site_label
_atom_site_fract_x
_atom_site_fract_y
_atom_site_fract_z
In1 0.000 0.000 0.000
In2 0.500 0.500 0.499
Cu1 0.000 0.500 0.997
Cl1 0.500 0.000 0.500
# Density = 5.748 g cm⁻³

=====

Version D
# In2CuCl (GGA-PBE, optimized geometry)
data_In2CuCl
_chemical_formula_sum 'In8 Cu4 Cl4'
_cell_length_a 6.463
_cell_length_b 6.463
_cell_length_c 12.414
_cell_angle_alpha 90.00
_cell_angle_beta 90.00
_cell_angle_gamma 90.00
_symmetry_space_group_name_H-M 'I -4 2 d'
_symmetry_Int_Tables_number 122
_symmetry_space_group_name_Hall 'I -4 2bw'
loop_
_atom_site_label
_atom_site_fract_x
_atom_site_fract_y
_atom_site_fract_z
In1 0.197 0.250 0.125
Cu1 0.000 0.000 0.000
Cl1 0.000 0.000 0.500
# Density = 4.210 g cm⁻³

=====

Most stable structure, least stable structure: version A, version B.